CaSe3 PBE relaxed; total DFT energy (no corrections) = -3.716 eV per atom; energy relative to the elements, uncorrected = -0.602 eV per atom
1.0
-2.629 3.176 0.119
-3.171 -2.634 0.134
0.254 -0.009 5.859
Se Ca
3 1
Direct
0.000 0.000 0.500 Se
0.500 0.500 0.207 Se
0.500 0.500 0.793 Se
0.000 0.000 0.000 Ca